# VSn, optimized geometry, DFT PBE-GGA
# space group	No. 136
# D(E_F)	11.50	states/eV per cell
# ΔH_f (0 K)	1.03	eV/f.u.
# ρ	6975	kg/m3
data_VSn
_space_group_name_H-M_alt 'P 1'
_space_group_IT_number 1
_cell_length_a 5.454
_cell_length_b 5.454
_cell_length_c 5.432
_cell_angle_alpha 90.00
_cell_angle_beta 90.00
_cell_angle_gamma 90.00
loop_
_space_group_symop_operation_xyz
'x,y,z'
loop_
_atom_site_label
_atom_site_fract_x
_atom_site_fract_y
_atom_site_fract_z
_atom_site_occupancy
V1 0.210 0.210 0.000 1
V2 0.290 0.710 0.500 1
V3 0.710 0.290 0.500 1
V4 0.790 0.790 0.000 1
Sn1 0.215 0.215 0.500 1
Sn2 0.285 0.715 0.000 1
Sn3 0.715 0.285 0.000 1
Sn4 0.785 0.785 0.500 1

# LiNdPt, optimized geometry, DFT PBE-GGA
# relative energy among the computed polymorphs	0.51	eV/f.u.
# space group	No. 216
# D(E_F)	0.78	states/eV per cell
# ΔH_f (0 K)	-1.93	eV/f.u.
# ρ	7666	kg/m3
data_LiNdPt
_space_group_name_H-M_alt 'P 1'
_space_group_IT_number 1
_cell_length_a 4.734
_cell_length_b 4.734
_cell_length_c 4.734
_cell_angle_alpha 60.00
_cell_angle_beta 60.00
_cell_angle_gamma 60.00
loop_
_space_group_symop_operation_xyz
'x,y,z'
loop_
_atom_site_label
_atom_site_fract_x
_atom_site_fract_y
_atom_site_fract_z
_atom_site_occupancy
Li1 0.000 0.000 0.000 1
Nd1 0.500 0.500 0.500 1
Pt1 0.250 0.250 0.250 1

# CrAsPb4, optimized geometry, DFT PBE-GGA
# space group	No. 216
# D(E_F)	4.17	states/eV per cell
# ΔH_f (0 K)	4.10	eV/f.u.
# ρ	8770	kg/m3
data_CrAsPb4
_space_group_name_H-M_alt 'P 1'
_space_group_IT_number 1
_cell_length_a 6.349
_cell_length_b 6.349
_cell_length_c 6.349
_cell_angle_alpha 60.00
_cell_angle_beta 60.00
_cell_angle_gamma 60.00
loop_
_space_group_symop_operation_xyz
'x,y,z'
loop_
_atom_site_label
_atom_site_fract_x
_atom_site_fract_y
_atom_site_fract_z
_atom_site_occupancy
Cr1 0.000 0.000 0.000 1
As1 0.250 0.250 0.250 1
Pb1 0.124 0.625 0.625 1
Pb2 0.625 0.124 0.625 1
Pb3 0.625 0.625 0.124 1
Pb4 0.625 0.625 0.625 1

# Na3TaPb2S6, optimized geometry, DFT PBE-GGA
# space group	No. 12
# ρ	5060	kg/m3
# total energy	-4.9245	eV/atom
data_Na3TaPb2S6
_space_group_name_H-M_alt 'P 1'
_space_group_IT_number 1
_cell_length_a 7.064
_cell_length_b 7.064
_cell_length_c 6.940
_cell_angle_alpha 100.01
_cell_angle_beta 100.01
_cell_angle_gamma 120.03
loop_
_space_group_symop_operation_xyz
'x,y,z'
loop_
_atom_site_label
_atom_site_fract_x
_atom_site_fract_y
_atom_site_fract_z
_atom_site_occupancy
Na1 0.000 0.000 0.000 1
Na2 0.332 0.668 0.000 1
Na3 0.668 0.332 0.000 1
Ta1 0.500 0.500 0.500 1
Pb1 0.166 0.834 0.500 1
Pb2 0.834 0.166 0.500 1
S1 0.136 0.424 0.274 1
S2 0.288 0.288 0.720 1
S3 0.424 0.136 0.274 1
S4 0.576 0.864 0.726 1
S5 0.712 0.712 0.280 1
S6 0.864 0.576 0.726 1